(1)
Here is a relaxed Sr2CaZr crystal from the Alexandria database. Energies are from PBEsol.

Values from the calculation:
- Total moment: 2.02 μB/cell
- Polymorph energy (0 for the lowest one): 107 meV per atom
- Total energy: -3.262 eV per atom
- Energy of formation: 1.856 eV/f.u.
- Space-group type: Pmmm (47)
- Density of states at the Fermi level: 5.48 states/eV per cell

Cell lengths 3.6520, 5.3734, 7.5449 Å; angles 90.00, 90.00, 90.00 degrees
Atoms (fractional coordinates):
Sr 0.0000 0.0000 0.2312
Sr 0.0000 0.0000 0.7688
Ca 0.5000 0.5000 0.5000
Zr 0.5000 0.5000 0.0000

(2)
Here is a relaxed CaTaTc3 crystal from the Alexandria database. Energies are from PBEsol.

Values from the calculation:
- Total moment: 0.00 μB/cell
- Total energy: -7.368 eV per atom
- Energy of formation: 11.644 eV/f.u.
- Space-group type: Pm-3m (221)
- Density of states at the Fermi level: 3.89 states/eV per cell

Cell lengths 4.4098, 4.4098, 4.4098 Å; angles 90.00, 90.00, 90.00 degrees
Atoms (fractional coordinates):
Ca 0.0000 0.0000 0.0000
Ta 0.5000 0.5000 0.5000
Tc 0.0000 0.0000 0.5000
Tc 0.0000 0.5000 0.0000
Tc 0.5000 0.0000 0.0000

(3)
Here is a relaxed Ca3TaTe crystal from the Alexandria database. Energies are from PBEsol.

Values from the calculation:
- Total moment: 4.94 μB/cell
- Total energy: -3.870 eV per atom
- Energy relative to the elements, uncorrected: 3.125 eV per formula unit
- Space-group type: Pm-3m (221)
- Density of states at the Fermi level: 4.25 states/eV per cell

Cell lengths 5.7146, 5.7146, 5.7146 Å; angles 90.00, 90.00, 90.00 degrees
Atoms (fractional coordinates):
Ca 0.0000 0.0000 0.5000
Ca 0.0000 0.5000 0.0000
Ca 0.5000 0.0000 0.0000
Ta 0.5000 0.5000 0.5000
Te 0.0000 0.0000 0.0000

(4)
Here is a relaxed CaTaTe3 crystal from the Alexandria database. Energies are from PBEsol.

Values from the calculation:
- Total moment: 0.00 μB/cell
- Total energy: -5.318 eV per atom
- Energy relative to the elements, uncorrected: -1.329 eV per formula unit
- Space-group type: Pm-3m (221)
- Density of states at the Fermi level: 3.18 states/eV per cell

Cell lengths 5.4060, 5.4060, 5.4060 Å; angles 90.00, 90.00, 90.00 degrees
Atoms (fractional coordinates):
Ca 0.0000 0.0000 0.0000
Ta 0.5000 0.5000 0.5000
Te 0.0000 0.5000 0.5000
Te 0.5000 0.0000 0.5000
Te 0.5000 0.5000 0.0000

(5)
Here is a relaxed CaTa2Te crystal from the Alexandria database. Energies are from PBEsol.

Values from the calculation:
- Total moment: 0.00 μB/cell
- Total energy: -7.370 eV per atom
- Energy relative to the elements, uncorrected: 1.283 eV per formula unit
- Space-group type: Pmmm (47)
- Density of states at the Fermi level: 3.83 states/eV per cell

Cell lengths 3.7865, 4.3878, 4.9509 Å; angles 90.00, 90.00, 90.00 degrees
Atoms (fractional coordinates):
Ca 0.0000 0.0000 0.0000
Ta 0.0000 0.5000 0.5000
Ta 0.5000 0.0000 0.5000
Te 0.5000 0.5000 0.0000

(6)
Here is a relaxed CaTaTl crystal from the Alexandria database. Energies are from PBEsol.

Values from the calculation:
- Total moment: 2.49 μB/cell
- Total energy: -4.259 eV per atom
- Energy of formation: 4.539 eV/f.u.
- Space-group type: F-43m (216)
- Density of states at the Fermi level: 6.22 states/eV per cell

Cell lengths 4.9045, 4.9045, 4.9045 Å; angles 60.00, 60.00, 60.00 degrees
Atoms (fractional coordinates):
Ca 0.0000 0.0000 0.0000
Ta 0.7500 0.7500 0.7500
Tl 0.2500 0.2500 0.2500

(7)
Here is a relaxed CaTaW2 crystal from the Alexandria database. Energies are from PBEsol.

Values from the calculation:
- Total moment: 0.00 μB/cell
- Polymorph energy (0 for the lowest one): 136 meV per atom
- Total energy: -9.662 eV per atom
- Energy of formation: 3.652 eV/f.u.
- Space-group type: Pmmm (47)
- Density of states at the Fermi level: 3.86 states/eV per cell

Cell lengths 3.1667, 4.7176, 4.7461 Å; angles 90.00, 90.00, 90.00 degrees
Atoms (fractional coordinates):
Ca 0.0000 0.0000 0.0000
Ta 0.5000 0.5000 0.0000
W 0.0000 0.5000 0.5000
W 0.5000 0.0000 0.5000

(8)
Here is a relaxed CaTa2W crystal from the Alexandria database. Energies are from PBEsol.

Values from the calculation:
- Total moment: 0.00 μB/cell
- Polymorph energy (0 for the lowest one): 32 meV per atom
- Total energy: -9.568 eV per atom
- Energy of formation: 2.771 eV/f.u.
- Space-group type: Cm (8)
- Density of states at the Fermi level: 3.35 states/eV per cell

Cell lengths 5.0062, 5.0062, 5.8727 Å; angles 91.07, 91.07, 31.62 degrees
Atoms (fractional coordinates):
Ca 0.0000 0.0000 0.0000
Ta 0.2455 0.2455 0.7147
Ta 0.5035 0.5035 0.4930
W 0.7523 0.7523 0.2813